Entry 1:
Computed, not measured: an optimized crystal structure of Sc2IrRh at the PBE-GGA level of DFT.

M_tot: 0.0 μB per cell
energy above the lowest structure with this stoichiometry: 0.573 eV per atom
formation enthalpy at 0 K: -0.468 eV/atom
DFT total energy: -7.69 eV/atom

Cell lengths 6.458, 6.458, 6.458 Å; angles 90.00, 90.00, 90.00 degrees
Space group F-43m (No. 216)
Symmetry-distinct sites (fractional):
Sc (0.000, 0.000, 0.000)
Sc (0.250, 0.250, 0.250)
Ir (0.000, 0.000, 0.500)
Rh (0.250, 0.250, 0.750)

***

Entry 2:
Computed, not measured: an optimized crystal structure of NaHfRh2S at the PBE-GGA level of DFT.

M_tot: 0.9 μB per cell
DFT total energy: -5.10 eV/atom

Cell lengths 4.718, 4.718, 5.860 Å; angles 90.00, 90.00, 90.00 degrees
Space group P4/mmm (No. 123)
Symmetry-distinct sites (fractional):
Na (0.000, 0.000, 0.000)
Hf (0.000, 0.000, 0.500)
Rh (0.000, 0.500, 0.500)
S (0.500, 0.500, 0.000)

***

Entry 3:
Computed, not measured: an optimized crystal structure of MgOsRh2 at the PBE-GGA level of DFT.

M_tot: 0.8 μB per cell
formation enthalpy at 0 K: 0.077 eV/atom
DFT total energy: -6.80 eV/atom

Cell lengths 4.001, 4.001, 3.679 Å; angles 90.00, 90.00, 90.00 degrees
Space group P4/mmm (No. 123)
Symmetry-distinct sites (fractional):
Mg (0.000, 0.000, 0.000)
Os (0.500, 0.500, 0.000)
Rh (0.000, 0.500, 0.500)

***

Entry 4:
Computed, not measured: an optimized crystal structure of Ac2Ge3Rh4 at the PBE-GGA level of DFT.

M_tot: 0.0 μB per cell
formation enthalpy at 0 K: -0.752 eV/atom
DFT total energy: -6.47 eV/atom

Cell lengths 5.911, 15.862, 7.420 Å; angles 90.00, 90.00, 90.00 degrees
Space group Cmce (No. 64)
Symmetry-distinct sites (fractional):
Ac (0.000, 0.108, 0.085)
Ge (0.000, 0.000, 0.500)
Ge (0.250, 0.229, 0.750)
Rh (0.000, 0.183, 0.481)
Rh (0.250, 0.070, 0.750)

***

Entry 5:
Computed, not measured: an optimized crystal structure of NdInNi at the PBE-GGA level of DFT.

M_tot: 0.0 μB per cell
formation enthalpy at 0 K: -0.451 eV/atom
DFT total energy: -4.88 eV/atom

Cell lengths 13.290, 3.870, 7.696 Å; angles 90.00, 90.00, 90.00 degrees
Space group Pmma (No. 51)
Symmetry-distinct sites (fractional):
Nd (0.043, 0.000, 0.229)
Nd (0.250, 0.000, 0.863)
In (0.124, 0.500, 0.575)
In (0.250, 0.500, 0.204)
Ni (0.092, 0.500, 0.946)
Ni (0.250, 0.000, 0.453)

***

Entry 6:
Computed, not measured: an optimized crystal structure of Tb2CeYEr5 at the PBE-GGA level of DFT.

M_tot: 2.5 μB per cell
formation enthalpy at 0 K: 0.174 eV/atom
DFT total energy: -4.77 eV/atom

Cell lengths 5.655, 21.477, 9.481 Å; angles 90.00, 90.00, 90.00 degrees
Space group Cmc2_1 (No. 36)
Symmetry-distinct sites (fractional):
Tb (0.000, 0.113, 0.000)
Tb (0.000, 0.137, 0.616)
Ce (0.000, 0.193, 0.301)
Y (0.000, 0.403, 0.893)
Er (0.000, 0.013, 0.307)
Er (0.000, 0.266, 0.986)
Er (0.000, 0.308, 0.604)
Er (0.000, 0.395, 0.277)
Er (0.000, 0.471, 0.574)

***

Entry 7:
Computed, not measured: an optimized crystal structure of Dy2Zn3Ru at the PBE-GGA level of DFT.

M_tot: 0.0 μB per cell
energy above the lowest structure with this stoichiometry: 0.000 eV per atom
formation enthalpy at 0 K: -0.382 eV/atom
DFT total energy: -4.10 eV/atom

Cell lengths 9.235, 5.341, 5.441 Å; angles 90.00, 124.45, 90.00 degrees
Space group C2/m (No. 12)
Symmetry-distinct sites (fractional):
Dy (0.128, 0.000, 0.383)
Zn (0.000, 0.500, 0.000)
Zn (0.250, 0.250, 0.000)
Ru (0.000, 0.500, 0.500)

***

Entry 8:
Computed, not measured: an optimized crystal structure of Sc3TcO at the PBE-GGA level of DFT.

M_tot: 0.0 μB per cell
energy above the lowest structure with this stoichiometry: 1.678 eV per atom
DFT total energy: -6.51 eV/atom

Cell lengths 4.943, 4.943, 4.943 Å; angles 90.00, 90.00, 90.00 degrees
Space group Pm-3m (No. 221)
Symmetry-distinct sites (fractional):
Sc (0.000, 0.000, 0.500)
Tc (0.000, 0.000, 0.000)
O (0.500, 0.500, 0.500)